A geometry-optimized InAgP2 structure, computed with PBE-GGA.

## Properties
Total magnetic moment, μB/f.u.: 0.00
ΔE_f, eV/atom: 0.566

Cell: 4.7151 4.7151 4.7151 Å, 60.00 60.00 60.00°
With the nearest neighbours (Å) after each atom.
Fractional coordinates of all 4 atoms:
Ag  0.5000  0.5000  0.5000  4 P 2.89, 4 In 2.89
P  0.2500  0.2500  0.2500  4 P 2.89, 4 Ag 2.89
P  0.0000  0.0000  0.0000  4 In 2.89, 4 P 2.89
In  0.7500  0.7500  0.7500  4 Ag 2.89, 4 P 2.89

***

A geometry-optimized LaPm3Nd4S8 structure, computed with PBE-GGA.

## Properties
Uncorrected formation energy, eV/atom: -2.043
Total magnetic moment, μB/f.u.: 0.00

Cell: 8.1373 8.1332 8.1381 Å, 120.02 120.00 90.00°
With the nearest neighbours (Å) after each atom.
Fractional coordinates of all 16 atoms:
Nd  0.5000  0.0000  0.5000  6 S 2.89
Nd  0.0000  0.0000  0.0000  6 S 2.89
Nd  0.0000  0.0000  0.5000  6 S 2.89
Nd  0.5000  0.0000  0.0000  6 S 2.86
S  0.2514  0.7491  0.9977  3 Nd 2.86-2.89, 2 Pm 2.86, 1 La 2.89
S  0.7489  0.7466  0.4977  3 Pm 2.86, 3 Nd 2.89
S  0.2538  0.2509  0.0023  3 Nd 2.86-2.89, 2 Pm 2.86, 1 La 2.89
S  0.2514  0.7491  0.5029  3 Nd 2.86-2.89, 2 Pm 2.86, 1 La 2.89
S  0.7486  0.2509  0.4971  3 Nd 2.86-2.89, 2 Pm 2.86, 1 La 2.89
S  0.2511  0.2534  0.5023  3 Pm 2.86, 3 Nd 2.89
S  0.7462  0.7491  0.9977  3 Nd 2.86-2.89, 2 Pm 2.86, 1 La 2.89
S  0.7486  0.2509  0.0023  3 Nd 2.86-2.89, 2 Pm 2.86, 1 La 2.89
Pm  0.5000  0.5000  0.5000  6 S 2.86
Pm  0.0000  0.5000  0.5000  6 S 2.86
Pm  0.5000  0.5000  0.0000  6 S 2.86
La  0.0000  0.5000  0.0000  6 S 2.89

***

A geometry-optimized Li4Cu2F9 structure, computed with PBE-GGA.

## Properties
Uncorrected formation energy, eV/atom: -2.242
Total magnetic moment, μB/f.u.: 3.00

Cell: 5.0420 5.0750 13.9347 Å, 88.81 89.94 60.23°
With the nearest neighbours (Å) after each atom.
Fractional coordinates of all 30 atoms:
Li  0.6733  0.6651  0.5180  6 F 1.97-2.18
Li  0.6683  0.6712  0.8203  6 F 2.02-2.10
Li  0.3389  0.3346  0.9819  6 F 1.97-2.19
Li  0.3317  0.3288  0.1797  6 F 2.02-2.10
Li  0.6625  0.6691  0.3202  6 F 2.02-2.09
Li  0.3267  0.3349  0.4820  6 F 1.97-2.18
Li  0.3375  0.3309  0.6798  6 F 2.02-2.09
Li  0.6611  0.6654  0.0181  6 F 1.97-2.19
F  0.3294  0.0219  0.5847  1 Cu 1.92, 3 Li 2.02-2.11
F  0.9916  0.6993  0.2428  1 Cu 1.97, 2 Li 2.03-2.05
F  0.6706  0.9781  0.4153  1 Cu 1.92, 3 Li 2.02-2.11
F  0.7095  0.0010  0.7496  2 Li 2.02, 2 Cu 2.05-2.06
F  0.0305  0.6352  0.5851  3 Li 1.97-2.11, 1 Cu 1.98
F  0.3072  0.7021  0.7434  2 Cu 1.97-2.19, 2 Li 2.04-2.05
F  0.0084  0.3007  0.7572  1 Cu 1.97, 2 Li 2.03-2.05
F  0.6664  0.3114  0.5837  1 Cu 1.90, 2 Li 2.01-2.09
F  0.6669  0.3648  0.9151  3 Li 1.97-2.11, 1 Cu 1.97
F  0.3331  0.6352  0.0849  3 Li 1.97-2.11, 1 Cu 1.97
F  0.6465  0.0215  0.0848  1 Cu 1.92, 3 Li 2.02-2.11
F  0.3336  0.6886  0.4163  1 Cu 1.90, 2 Li 2.01-2.09
F  0.3535  0.9785  0.9152  1 Cu 1.92, 3 Li 2.02-2.11
F  0.9695  0.3648  0.4149  3 Li 1.97-2.11, 1 Cu 1.98
F  0.6928  0.2979  0.2566  2 Cu 1.97-2.19, 2 Li 2.04-2.05
F  0.0215  0.3095  0.0838  1 Cu 1.89, 2 Li 2.02-2.10
F  0.9785  0.6905  0.9162  1 Cu 1.89, 2 Li 2.02-2.10
F  0.2905  0.9990  0.2504  2 Li 2.02, 2 Cu 2.05-2.06
Cu  0.9912  0.0096  0.3516  5 F 1.90-2.05
Cu  0.9999  0.0113  0.8515  5 F 1.89-2.06
Cu  0.0001  0.9887  0.1485  5 F 1.89-2.06
Cu  0.0088  0.9904  0.6484  5 F 1.90-2.05

***

A geometry-optimized ScZnGa structure, computed with PBE-GGA.

## Properties
Total magnetic moment, μB/f.u.: 0.00
ΔE_f, eV/atom: -0.369

Cell: 5.1257 4.1755 5.6901 Å, 90.00 77.76 65.92°
With the nearest neighbours (Å) after each atom.
Fractional coordinates of all 6 atoms:
Sc  0.4366  0.4342  0.5939  5 Ga 2.83-2.89, 5 Zn 2.85-3.10
Sc  0.7825  0.7618  0.1814  6 Zn 2.84-3.09, 4 Ga 2.84-2.87
Ga  0.8114  0.7473  0.6750  2 Zn 2.81-2.82, 5 Sc 2.83-2.85, 2 Ga 2.97
Ga  0.1160  0.0947  0.8960  4 Zn 2.80-2.89, 4 Sc 2.87-2.89, 2 Ga 2.97
Zn  0.1113  0.0972  0.3887  4 Ga 2.80-2.89, 2 Zn 2.81-2.82, 6 Sc 2.98-3.10
Zn  0.4066  0.4497  0.0995  2 Zn 2.81-2.82, 5 Sc 2.84-2.85, 2 Ga 2.88

***

A geometry-optimized BaEr2Tl3 structure, computed with PBE-GGA.

## Properties
Total magnetic moment, μB/f.u.: 0.00
ΔE_f, eV/atom: -0.338

Cell: 3.8768 3.8768 12.1468 Å, 90.00 90.00 90.00°
With the nearest neighbours (Å) after each atom.
Fractional coordinates of all 6 atoms:
Tl  0.0000  0.0000  0.7027  4 Er 3.27, 1 Tl 3.61
Tl  0.0000  0.0000  0.2973  4 Er 3.27, 1 Tl 3.61
Tl  0.0000  0.0000  0.0000  8 Er 3.30, 2 Tl 3.61
Ba  0.5000  0.5000  0.5000  8 Tl 3.68, 4 Ba 3.88
Er  0.5000  0.5000  0.8488  8 Tl 3.27-3.30
Er  0.5000  0.5000  0.1512  8 Tl 3.27-3.30

***

A geometry-optimized CeVN3 structure, computed with PBE-GGA.

## Properties
Uncorrected formation energy, eV/atom: -0.905
Total magnetic moment, μB/f.u.: 0.00

Cell: 3.7191 5.3033 6.4307 Å, 114.35 90.00 90.00°
With the nearest neighbours (Å) after each atom.
Fractional coordinates of all 10 atoms:
N  0.5000  0.7426  0.0000  2 V 1.91
N  0.0000  0.1429  0.2858  2 V 1.89
N  0.5000  0.5000  0.5000  2 V 2.07
N  0.5000  0.0000  0.5000  2 V 2.07
N  0.5000  0.2574  0.0000  2 V 1.91
N  0.0000  0.8571  0.7142  2 V 1.89
Ce  0.0000  0.3451  0.6902  5 N 2.37-2.54
Ce  0.0000  0.6549  0.3098  5 N 2.37-2.54
V  0.5000  0.1142  0.2285  6 N 1.89-2.07
V  0.5000  0.8858  0.7715  6 N 1.89-2.07

***

A geometry-optimized RbNaIn2Ag structure, computed with PBE-GGA.

## Properties
Total magnetic moment, μB/f.u.: 0.00
ΔE_f, eV/atom: 0.025

Cell: 5.4346 5.4346 5.8231 Å, 90.00 90.00 90.00°
With the nearest neighbours (Å) after each atom.
Fractional coordinates of all 5 atoms:
In  0.5000  0.0000  0.0000  2 Ag 2.72
In  0.0000  0.5000  0.0000  2 Ag 2.72
Ag  0.0000  0.0000  0.0000  4 In 2.72, 2 Na 2.91
Rb  0.5000  0.5000  0.5000  4 Na 3.84, 8 In 3.98
Na  0.0000  0.0000  0.5000  2 Ag 2.91

***

A geometry-optimized CdIrRh2 structure, computed with PBE-GGA.

## Properties
Total magnetic moment, μB/f.u.: 0.00
ΔE_f, eV/atom: 0.163

Cell: 4.0183 4.0183 3.8478 Å, 90.00 90.00 90.00°
With the nearest neighbours (Å) after each atom.
Fractional coordinates of all 4 atoms:
Rh  0.0000  0.5000  0.0000  4 Cd 2.78, 4 Ir 2.78, 4 Rh 2.84
Rh  0.5000  0.0000  0.0000  4 Cd 2.78, 4 Ir 2.78, 4 Rh 2.84
Ir  0.0000  0.0000  0.5000  8 Rh 2.78, 4 Cd 2.84
Cd  0.5000  0.5000  0.5000  8 Rh 2.78, 4 Ir 2.84